1.
Computed, not measured: a relaxed GePN3 crystal at the GGA-PBE level of DFT.

Computed properties:
total moment: 0.0 μB per cell

a b c (Å): 5.5224 5.5224 8.2222
angles (deg): 95.36 95.36 29.64
Element x y z (fractional)
Ge (0.1388, 0.1388, 0.4201)
Ge (0.8612, 0.8612, 0.5799)
P (0.4014, 0.4014, 0.2297)
P (0.5986, 0.5986, 0.7703)
N (0.1263, 0.1263, 0.8611)
N (0.3171, 0.3171, 0.4004)
N (0.4497, 0.4497, 0.6848)
N (0.5503, 0.5503, 0.3152)
N (0.6829, 0.6829, 0.5996)
N (0.8737, 0.8737, 0.1389)



2.
Computed, not measured: a relaxed Na3CePu2Te6 crystal at the GGA-PBE level of DFT.

Computed properties:
total moment: 11.0 μB per cell

a b c (Å): 7.8388 7.8388 7.9209
angles (deg): 99.50 99.50 119.99
Element x y z (fractional)
Na (0.0000, 0.0000, 0.0000)
Na (0.3335, 0.6665, 0.0000)
Na (0.6665, 0.3335, 0.0000)
Ce (0.5000, 0.5000, 0.5000)
Pu (0.1667, 0.8333, 0.5000)
Pu (0.8333, 0.1667, 0.5000)
Te (0.0869, 0.4216, 0.2648)
Te (0.2437, 0.2437, 0.7353)
Te (0.4216, 0.0869, 0.2648)
Te (0.5784, 0.9131, 0.7352)
Te (0.7563, 0.7563, 0.2647)
Te (0.9131, 0.5784, 0.7352)



3.
Computed, not measured: a relaxed Pm2TmSb3Pt4 crystal at the GGA-PBE level of DFT.

Computed properties:
total moment: 0.0 μB per cell

a b c (Å): 4.4929 4.4929 11.4601
angles (deg): 90.00 90.00 90.00
Element x y z (fractional)
Pm (0.0000, 0.5000, 0.2131)
Pm (0.5000, 0.0000, 0.7869)
Tm (0.0000, 0.0000, 0.5000)
Sb (0.0000, 0.5000, 0.8676)
Sb (0.5000, 0.0000, 0.1324)
Sb (0.5000, 0.5000, 0.5000)
Pt (0.0000, 0.0000, 0.0000)
Pt (0.0000, 0.5000, 0.6416)
Pt (0.5000, 0.0000, 0.3584)
Pt (0.5000, 0.5000, 0.0000)



4.
Computed, not measured: a relaxed Y3GaRu crystal at the GGA-PBE level of DFT.

Computed properties:
ΔE to the lowest computed polymorph: 1060 meV per atom
ΔE_f: 301 kJ/mol of formula units
total moment: 0.1 μB per cell

a b c (Å): 5.2316 5.2316 5.2316
angles (deg): 90.00 90.00 90.00
Element x y z (fractional)
Y (0.0000, 0.0000, 0.5000)
Y (0.0000, 0.5000, 0.0000)
Y (0.5000, 0.0000, 0.0000)
Ga (0.0000, 0.0000, 0.0000)
Ru (0.5000, 0.5000, 0.5000)



5.
Computed, not measured: a relaxed ZnRe2Hg crystal at the GGA-PBE level of DFT.

Computed properties:
ΔE to the lowest computed polymorph: 9 meV per atom
ΔE_f: 103 kJ/mol of formula units
total moment: 0.0 μB per cell

a b c (Å): 2.9752 2.9752 7.6046
angles (deg): 90.00 90.00 90.00
Element x y z (fractional)
Zn (0.0000, 0.0000, 0.0000)
Re (0.0000, 0.0000, 0.5689)
Re (0.5000, 0.5000, 0.7646)
Hg (0.5000, 0.5000, 0.2796)



| no. | final energy (Ry per atom) |
| --- | --- |
| 1 | -0.5163 |
| 2 | -0.4335 |
| 3 | -0.4408 |
| 4 | -0.4201 |
| 5 | -0.4668 |